DFT (GGA-PBE) results for an optimized crystal structure of LaCeErHg.

The structure belongs to space group F-43m (No. 216); the cell edges are 7.6816, 7.6816 and 7.6816 Å and the angles 90.00°, 90.00° and 90.00°. The distinct sites, in fractional coordinates, are La at (0.0000, 0.0000, 0.0000), Ce at (0.2500, 0.2500, 0.7500), Er at (0.0000, 0.0000, 0.5000) and Hg at (0.2500, 0.2500, 0.2500).

For the total energy, the calculation gives -3.939 eV per atom. For the volume, the calculation gives 28.33 A^3/atom.

---

DFT (GGA-PBE) results for an optimized crystal structure of Zr3Al3ZnPd2.

The structure belongs to space group P-62m (No. 189); the cell edges are 7.3903, 7.3903 and 3.4079 Å and the angles 90.00°, 90.00° and 120.00°. The distinct sites, in fractional coordinates, are Zr at (0.0000, 0.6168, 0.0000), Al at (0.0000, 0.2742, 0.5000), Zn at (0.0000, 0.0000, 0.0000) and Pd at (0.3333, 0.6667, 0.5000).

For the total energy, the calculation gives -5.975 eV per atom. For the volume, the calculation gives 17.91 A^3/atom.

---

DFT (GGA-PBE) results for an optimized crystal structure of MgAl2Os.

The structure belongs to space group P4mm (No. 99); the cell edges are 3.2834, 3.2834 and 5.8600 Å and the angles 90.00°, 90.00° and 90.00°. The distinct sites, in fractional coordinates, are Mg at (0.0000, 0.0000, 0.0000), Al at (0.0000, 0.0000, 0.4601), Al at (0.5000, 0.5000, 0.7145) and Os at (0.5000, 0.5000, 0.2690).

For the total energy, the calculation gives -5.233 eV per atom. For the volume, the calculation gives 15.79 A^3/atom.

---

DFT (GGA-PBE) results for an optimized crystal structure of LiZnP3.

The structure belongs to space group Pm-3m (No. 221); the cell edges are 4.6998, 4.6998 and 4.6998 Å and the angles 90.00°, 90.00° and 90.00°. The distinct sites, in fractional coordinates, are Li at (0.0000, 0.0000, 0.0000), Zn at (0.5000, 0.5000, 0.5000) and P at (0.0000, 0.5000, 0.5000).

For the total energy, the calculation gives -3.184 eV per atom. For the volume, the calculation gives 20.76 A^3/atom.

---

DFT (GGA-PBE) results for an optimized crystal structure of MgZnTe2.

The structure belongs to space group P-4m2 (No. 115); the cell edges are 4.4714, 4.4714 and 6.3950 Å and the angles 90.00°, 90.00° and 90.00°. The distinct sites, in fractional coordinates, are Mg at (0.0000, 0.0000, 0.0000), Zn at (0.5000, 0.5000, 0.5000) and Te at (0.0000, 0.5000, 0.7362).

Its raw formation energy is -0.66 eV per atom. For the volume, the calculation gives 31.96 A^3/atom.

---

DFT (GGA-PBE) results for an optimized crystal structure of HoPd6Pt4.

The structure belongs to space group Amm2 (No. 38); the cell edges are 4.5694, 5.5433 and 14.8151 Å and the angles 90.00°, 90.00° and 90.00°. The distinct sites, in fractional coordinates, are Ho at (0.0000, 0.0000, 0.0000), Pd at (0.0000, 0.0000, 0.4596), Pd at (0.0000, 0.2473, 0.2951), Pd at (0.5000, 0.0000, 0.7438), Pd at (0.5000, 0.2496, 0.0852), Pt at (0.0000, 0.0000, 0.6375), Pt at (0.5000, 0.0000, 0.2431) and Pt at (0.5000, 0.2492, 0.4043).

For the total energy, the calculation gives -5.686 eV per atom. For the volume, the calculation gives 17.06 A^3/atom.

---

DFT (GGA-PBE) results for an optimized crystal structure of NaSn2Au.

The structure belongs to space group I-42d (No. 122); the cell edges are 4.4146, 4.4146 and 20.8457 Å and the angles 90.00°, 90.00° and 90.00°. The distinct sites, in fractional coordinates, are Na at (0.0000, 0.0000, 0.0000), Sn at (0.2328, 0.2500, 0.6250) and Au at (0.0000, 0.0000, 0.5000).

For the total energy, the calculation gives -3.222 eV per atom. For the volume, the calculation gives 25.39 A^3/atom.

---

DFT (GGA-PBE) results for an optimized crystal structure of Fe11Si5.

The structure belongs to space group Pm-3m (No. 221); the cell edges are 5.5655, 5.5655 and 5.5655 Å and the angles 90.00°, 90.00° and 90.00°. The distinct sites, in fractional coordinates, are Fe at (0.0000, 0.0000, 0.5000), Fe at (0.2528, 0.2528, 0.2528), Si at (0.0000, 0.0000, 0.0000), Si at (0.0000, 0.5000, 0.5000) and Si at (0.5000, 0.5000, 0.5000).

Its raw formation energy is -0.34 eV per atom. For the volume, the calculation gives 10.77 A^3/atom.